Record 1
Zr2TlHIr | PBE | optimized geometry

abc: 5.3720 4.9351 5.3720
angles: 90.00 90.00 90.00
Closest atoms and distances in Å follow each position.
Sites, in units of the cell vectors:
H (0.5000, 0.5000, 0.5000)  8 Zr 3.65, 4 Ir 3.80
Tl (0.0000, 0.0000, 0.0000)  2 Ir 2.47, 4 Zr 2.69
Ir (0.0000, 0.5000, 0.0000)  2 Tl 2.47
Zr (0.0000, 0.0000, 0.5000)  2 Tl 2.69
Zr (0.5000, 0.0000, 0.0000)  2 Tl 2.69

Summary:
Its relative energy among the computed polymorphs is 2205 meV per atom. The space-group type is No. 123. The value obtained for the electronic total energy is -4.4148 eV/atom.

---

Record 2
Zr2TlHIr | PBE | optimized geometry

abc: 4.5165 4.5165 4.0262
angles: 90.00 90.00 90.00
Closest atoms and distances in Å follow each position.
Sites, in units of the cell vectors:
H (0.0000, 0.0000, 0.0000)  2 Ir 2.01
Tl (0.5000, 0.5000, 0.5000)  8 Zr 3.03, 4 Ir 3.19
Ir (0.0000, 0.0000, 0.5000)  2 H 2.01
Zr (0.0000, 0.5000, 0.0000)  2 H 2.26
Zr (0.5000, 0.0000, 0.0000)  2 H 2.26

Summary:
Its relative energy among the computed polymorphs is 0 meV per atom. The space-group type is No. 123. The value obtained for the electronic total energy is -6.6202 eV/atom.

---

Record 3
Tm3H12Ir5 | PBE | optimized geometry

abc: 9.9751 9.9751 9.9751
angles: 109.47 109.47 109.47
Closest atoms and distances in Å follow each position.
Sites, in units of the cell vectors:
H (0.6977, 0.1088, 0.0226)  2 Ir 1.76-1.80
H (0.3250, 0.5226, 0.4138)  2 Ir 1.76-1.80
H (0.9774, 0.3912, 0.3023)  2 Ir 1.76-1.80
H (0.5226, 0.1977, 0.1088)  2 Ir 1.76-1.80
H (0.5888, 0.6977, 0.6750)  2 Ir 1.76-1.80
H (0.9774, 0.5862, 0.1750)  2 Ir 1.76-1.80
H (0.3250, 0.8023, 0.4112)  2 Ir 1.76-1.80
H (0.0862, 0.9112, 0.1088)  2 Ir 1.76-1.80
H (0.5862, 0.9774, 0.6750)  2 Ir 1.76-1.80
H (0.6977, 0.5888, 0.1750)  2 Ir 1.76-1.80
H (0.8023, 0.4774, 0.3912)  2 Ir 1.76-1.80
H (0.8250, 0.9138, 0.0226)  2 Ir 1.76-1.80
H (0.1088, 0.6977, 0.5226)  2 Ir 1.76-1.80
H (0.3912, 0.4138, 0.0888)  2 Ir 1.76-1.80
H (0.0888, 0.9138, 0.3912)  2 Ir 1.76-1.80
H (0.4112, 0.1088, 0.5862)  2 Ir 1.76-1.80
H (0.0888, 0.1750, 0.1977)  2 Ir 1.76-1.80
H (0.4774, 0.6750, 0.0862)  2 Ir 1.76-1.80
H (0.8250, 0.9112, 0.3023)  2 Ir 1.76-1.80
H (0.1088, 0.4112, 0.0862)  2 Ir 1.76-1.80
H (0.3912, 0.9774, 0.8023)  2 Ir 1.76-1.80
H (0.5862, 0.6088, 0.4112)  2 Ir 1.76-1.80
H (0.9138, 0.8250, 0.5226)  2 Ir 1.76-1.80
H (0.8023, 0.3250, 0.9112)  2 Ir 1.76-1.80
H (0.4138, 0.3912, 0.5888)  2 Ir 1.76-1.80
H (0.0862, 0.1750, 0.4774)  2 Ir 1.76-1.80
H (0.1977, 0.6750, 0.0888)  2 Ir 1.76-1.80
H (0.1750, 0.0888, 0.6977)  2 Ir 1.76-1.80
H (0.6088, 0.0226, 0.1977)  2 Ir 1.76-1.80
H (0.8912, 0.5888, 0.9138)  2 Ir 1.76-1.80
H (0.5226, 0.3250, 0.9138)  2 Ir 1.76-1.80
H (0.5888, 0.8912, 0.4138)  2 Ir 1.76-1.80
H (0.9112, 0.8250, 0.8023)  2 Ir 1.76-1.80
H (0.9112, 0.0862, 0.6088)  2 Ir 1.76-1.80
H (0.8912, 0.3023, 0.4774)  2 Ir 1.76-1.80
H (0.1750, 0.0862, 0.9774)  2 Ir 1.76-1.80
H (0.6088, 0.5862, 0.9112)  2 Ir 1.76-1.80
H (0.4138, 0.0226, 0.3250)  2 Ir 1.76-1.80
H (0.3023, 0.4112, 0.8250)  2 Ir 1.76-1.80
H (0.1977, 0.5226, 0.6088)  2 Ir 1.76-1.80
H (0.9138, 0.0888, 0.8912)  2 Ir 1.76-1.80
H (0.6750, 0.1977, 0.5888)  2 Ir 1.76-1.80
H (0.4774, 0.8023, 0.8912)  2 Ir 1.76-1.80
H (0.0226, 0.4138, 0.8250)  2 Ir 1.76-1.80
H (0.4112, 0.3023, 0.3250)  2 Ir 1.76-1.80
H (0.0226, 0.6088, 0.6977)  2 Ir 1.76-1.80
H (0.6750, 0.4774, 0.5862)  2 Ir 1.76-1.80
H (0.3023, 0.8912, 0.9774)  2 Ir 1.76-1.80
Ir (0.1250, 0.3750, 0.2500)  4 H 1.76
Ir (0.0000, 0.5000, 0.0000)  6 H 1.80
Ir (0.0000, 0.0000, 0.0000)  6 H 1.80
Ir (0.3750, 0.2500, 0.1250)  4 H 1.76
Ir (0.5000, 0.0000, 0.5000)  6 H 1.80
Ir (0.5000, 0.5000, 0.0000)  6 H 1.80
Ir (0.1250, 0.7500, 0.3750)  4 H 1.76
Ir (0.7500, 0.1250, 0.8750)  4 H 1.76
Ir (0.7500, 0.6250, 0.3750)  4 H 1.76
Ir (0.3750, 0.1250, 0.7500)  4 H 1.76
Ir (0.6250, 0.8750, 0.2500)  4 H 1.76
Ir (0.5000, 0.5000, 0.5000)  6 H 1.80
Ir (0.5000, 0.0000, 0.0000)  6 H 1.80
Ir (0.0000, 0.0000, 0.5000)  6 H 1.80
Ir (0.2500, 0.3750, 0.6250)  4 H 1.76
Ir (0.2500, 0.8750, 0.1250)  4 H 1.76
Ir (0.0000, 0.5000, 0.5000)  6 H 1.80
Ir (0.8750, 0.2500, 0.6250)  4 H 1.76
Ir (0.6250, 0.7500, 0.8750)  4 H 1.76
Ir (0.8750, 0.6250, 0.7500)  4 H 1.76
Tm (0.7500, 0.3750, 0.1250)  8 H 2.28-2.30
Tm (0.8750, 0.7500, 0.1250)  8 H 2.28-2.30
Tm (0.3750, 0.7500, 0.6250)  8 H 2.28-2.30
Tm (0.2500, 0.1250, 0.3750)  8 H 2.28-2.30
Tm (0.8750, 0.1250, 0.2500)  8 H 2.28-2.30
Tm (0.3750, 0.6250, 0.2500)  8 H 2.28-2.30
Tm (0.6250, 0.3750, 0.7500)  8 H 2.28-2.30
Tm (0.1250, 0.8750, 0.7500)  8 H 2.28-2.30
Tm (0.7500, 0.8750, 0.6250)  8 H 2.28-2.30
Tm (0.6250, 0.2500, 0.3750)  8 H 2.28-2.30
Tm (0.1250, 0.2500, 0.8750)  8 H 2.28-2.30
Tm (0.2500, 0.6250, 0.8750)  8 H 2.28-2.30

Summary:
The space-group type is No. 230. The value obtained for the electronic total energy is -5.1149 eV/atom.